CsNp2VO8, relaxed, DFT PBE+U; total energy = -8.5148 eV/atom; ρ = 6.36 g/cm³; DOS at the Fermi energy = 8.7 states/eV/cell; space-group type = P-1 (2); crystal system = triclinic
1.0
-1.094 -2.785 -3.285
-2.580 -2.432 2.999
-8.937 4.380 -1.699
Np O Cs V
2 8 1 1
direct
0.399 0.444 0.828
0.601 0.556 0.172
0.127 0.693 0.154
0.309 0.292 0.018
0.245 0.896 0.855
0.532 0.433 0.356
0.755 0.104 0.145
0.873 0.307 0.846
0.691 0.708 0.982
0.468 0.567 0.644
0.000 0.000 0.500
0.000 0.000 0.000

---

CsNp2WO8, relaxed, DFT PBE+U; total energy = -8.4953 eV/atom; ρ = 6.70 g/cm³; DOS at the Fermi energy = 10.2 states/eV/cell; space-group type = P-1 (2); crystal system = triclinic
1.0
5.534 0.803 0.591
0.874 5.512 0.623
0.922 0.947 7.821
Np O W Cs
2 8 1 1
direct
0.558 0.558 0.269
0.442 0.442 0.731
0.769 0.760 0.097
0.200 0.786 0.833
0.800 0.214 0.167
0.770 0.214 0.825
0.230 0.786 0.175
0.622 0.644 0.521
0.231 0.240 0.903
0.378 0.356 0.479
0.000 0.000 0.000
0.000 0.000 0.500

---

Cs2NpW3O12, relaxed, DFT PBE+U; total energy = -7.5757 eV/atom; ρ = 6.76 g/cm³; DOS at the Fermi energy = 5.0 states/eV/cell; space-group type = R-3m (166); crystal system = trigonal
1.0
-3.662 -6.713 -0.522
1.564 -5.818 4.738
-4.990 -2.290 5.348
O W Cs Np
12 3 2 1
direct
0.305 0.305 0.935
0.935 0.305 0.305
0.695 0.695 0.065
0.931 0.337 0.931
0.337 0.931 0.931
0.663 0.069 0.069
0.065 0.695 0.695
0.931 0.931 0.337
0.069 0.663 0.069
0.069 0.069 0.663
0.305 0.935 0.305
0.695 0.065 0.695
0.500 0.000 0.000
0.000 0.500 0.000
0.000 0.000 0.500
0.377 0.377 0.377
0.623 0.623 0.623
0.000 0.000 0.000